MgFeOs2: relaxed, GGA-PBE.

extended XYZ file:
```
4
Lattice="4.715 -0.112 0.000 1.747 4.381 0.000 -3.231 -2.135 2.693" Properties=species:S:1:pos:R:3 pbc="T T T"
Mg 2.358 -0.056 1.346
Os 3.231 2.135 0.000
Os 0.000 0.000 0.000
Fe 0.873 2.191 1.346
```

Summary:
Calculated density, g cm⁻³: 13.62
SG: I4/mmm (139)


MgFeOs2: relaxed, GGA-PBE.

extended XYZ file:
```
4
Lattice="-0.211 0.204 -2.672 0.687 -2.421 0.944 -8.707 -2.270 0.513" Properties=species:S:1:pos:R:3 pbc="T T T"
Os -2.010 -1.694 -0.731
Os -0.043 -0.011 0.003
Fe -4.287 -1.118 0.252
Mg -6.245 -2.798 -0.482
```

Summary:
Calculated density, g cm⁻³: 13.06
SG: Cmm2 (35)


MgFeOs2: relaxed, GGA-PBE.

extended XYZ file:
```
4
Lattice="-1.881 -0.750 -4.639 3.292 -0.319 -3.832 -1.448 -1.978 4.429" Properties=species:S:1:pos:R:3 pbc="T T T"
Os -1.319 -1.626 -2.179
Os 1.402 -1.062 -8.417
Fe 0.714 -0.541 -4.286
Mg 1.283 -1.421 -1.867
```

Summary:
Calculated density, g cm⁻³: 13.65
SG: Imm2 (44)


MgFe2Os: relaxed, GGA-PBE.

extended XYZ file:
```
4
Lattice="-0.697 2.525 0.443 -3.620 -0.815 -1.050 -1.191 -1.215 5.047" Properties=species:S:1:pos:R:3 pbc="T T T"
Os -3.052 -0.056 3.482
Mg -2.456 0.551 0.958
Fe -0.623 -0.635 2.638
Fe -1.164 -1.187 4.932
```

Summary:
Calculated density, g cm⁻³: 9.93
SG: Pmmm (47)


| no. | ΔE_f (eV per atom) |
| --- | --- |
| 1 | 0.361 |
| 2 | 0.441 |
| 3 | 0.252 |
| 4 | 0.238 |